The following is a PBE+U calculation of a geometry-optimized MgTlFe2F8 structure, from Alexandria via LeMat-Bulk.

abc: 5.4900 5.4900 7.9101
angles: 90.00 90.00 120.00
Site moments in Bohr magnetons follow the coordinates.
Atoms (fractional coordinates):
F (0.9630, 0.6919, 0.3490)  0.06
Tl (0.0000, 0.0000, 0.0000)  0.00
F (0.3081, 0.2710, 0.3490)  0.06
Mg (0.0000, 0.0000, 0.5000)  0.00
F (0.2710, 0.9630, 0.6510)  0.06
F (0.3333, 0.6667, 0.9611)  0.10
Fe (0.6667, 0.3333, 0.2760)  4.13
F (0.0370, 0.3081, 0.6510)  0.06
F (0.6919, 0.7290, 0.6510)  0.06
Fe (0.3333, 0.6667, 0.7240)  4.13
F (0.7290, 0.0370, 0.3490)  0.06
F (0.6667, 0.3333, 0.0389)  0.10

Results
* DFT total energy: -4.971 eV per atom
* crystal system: trigonal
* spin magnetization: 9.0 μB per formula unit
* SG: P-3